Entry 1:
This record from the Open Quantum Materials Database describes a geometry-optimized ErZrSb structure. The functional is PBE-GGA.

Structure (POSCAR):
```
ErZrSb
1.0
0.0000 3.4638 3.4638
3.4638 0.0000 3.4638
3.4638 3.4638 0.0000
Er Zr Sb
1 1 1
Cartesian
0.0000 0.0000 0.0000
3.4638 3.4638 3.4638
1.7319 1.7319 1.7319
```

Results
* E: -6.05 eV/atom
* symmetry: F-43m (216)

---

Entry 2:
This record from the Open Quantum Materials Database describes a geometry-optimized LiZnBiPd structure. The functional is PBE-GGA.

Structure (POSCAR):
```
LiZnBiPd
1.0
0.0000 3.3042 3.3042
3.3042 0.0000 3.3042
3.3042 3.3042 0.0000
Li Zn Bi Pd
1 1 1 1
Cartesian
0.0000 0.0000 0.0000
3.3042 3.3042 3.3042
4.9563 4.9563 4.9563
1.6521 1.6521 1.6521
```

Results
* energy above the lowest structure with this stoichiometry: 64 meV/atom
* symmetry: F-43m (216)

---

Entry 3:
This record from the Open Quantum Materials Database describes a geometry-optimized TmSnTe3Au structure. The functional is PBE-GGA.

Structure (POSCAR):
```
TmSnTe3Au
1.0
14.4631 0.0000 0.0000
0.0000 4.2717 0.0000
0.0000 0.0000 11.4551
Tm Sn Te Au
4 4 12 4
Cartesian
0.1154 1.0679 2.0988
7.1162 3.2038 7.8263
7.3470 1.0679 3.6288
14.3477 3.2038 9.3563
3.2514 1.0679 5.0701
3.9802 3.2038 10.7976
10.4830 1.0679 0.6574
11.2117 3.2038 6.3850
1.5550 1.0679 10.8108
1.8459 3.2038 7.0862
2.1955 3.2038 2.8236
5.0361 1.0679 8.5512
5.3857 1.0679 1.3587
5.6766 3.2038 5.0833
8.7865 1.0679 6.3718
9.0775 3.2038 10.0964
9.4271 3.2038 2.9039
12.2677 1.0679 8.6315
12.6172 1.0679 4.3688
12.9082 3.2038 0.6443
0.0954 3.2038 4.6537
7.1361 1.0679 10.3813
7.3270 3.2038 1.0738
14.3677 1.0679 6.8014
```

Results
* energy above the lowest structure with this stoichiometry: 1 meV/atom
* symmetry: Pnma (62)

---

Entry 4:
This record from the Open Quantum Materials Database describes a geometry-optimized CoAsOs structure. The functional is PBE-GGA.

Structure (POSCAR):
```
CoAsOs
1.0
0.0000 2.8711 2.8711
2.8711 0.0000 2.8711
2.8711 2.8711 0.0000
Co As Os
1 1 1
Cartesian
0.0000 0.0000 0.0000
2.8711 2.8711 2.8711
4.3067 4.3067 4.3067
```

Results
* energy above the lowest structure with this stoichiometry: 0 meV/atom
* symmetry: F-43m (216)

---

Entry 5:
This record from the Open Quantum Materials Database describes a geometry-optimized TbDy2In3CuPd2 structure. The functional is PBE-GGA.

Structure (POSCAR):
```
TbDy2In3CuPd2
1.0
3.8592 0.0000 0.0000
0.0000 6.6355 3.8288
0.0000 -6.6355 3.8288
Tb Dy In Cu Pd
1 2 3 1 2
Cartesian
0.0000 0.0000 0.0000
0.0000 -2.7182 4.7057
0.0000 2.7182 4.7057
1.9296 -1.6738 2.1740
1.9296 1.6738 2.1740
1.9296 0.0000 5.0645
0.0000 0.0000 3.1389
1.9296 -4.4191 3.1363
1.9296 4.4191 3.1363
```

Results
* E: -4.72 eV/atom
* symmetry: Amm2 (38)

---

Entry 6:
This record from the Open Quantum Materials Database describes a geometry-optimized K2AgSe2 structure. The functional is PBE-GGA.

Structure (POSCAR):
```
K2AgSe2
1.0
4.0306 0.0000 0.0000
-2.0146 5.9513 0.0000
-0.0071 -1.4718 6.5843
K Ag Se
2 1 2
Cartesian
-0.0027 1.5957 1.4358
2.0115 2.8839 5.1485
2.0117 -0.7359 3.2921
-0.0035 0.2910 4.6998
2.0123 4.1885 1.8845
```

Results
* E: -3.12 eV/atom
* symmetry: P-1 (2)

---

Entry 7:
This record from the Open Quantum Materials Database describes a geometry-optimized ZrPaCo structure. The functional is PBE-GGA.

Structure (POSCAR):
```
ZrPaCo
1.0
0.0000 4.7147 8.7663
2.7772 0.0000 8.7663
2.7772 4.7147 0.0000
Zr Pa Co
4 4 4
Cartesian
0.6943 1.1787 0.7429
0.6943 1.1787 3.6402
4.8601 8.2507 13.8924
4.8601 8.2507 16.7897
2.0829 1.9443 6.5747
3.4715 4.3017 10.9579
2.0829 5.1277 6.5747
3.4715 7.4851 10.9579
2.0829 3.5360 4.4076
2.0829 3.5360 8.7419
3.4715 5.8934 8.7907
3.4715 5.8934 13.1250
```

Results
* energy above the lowest structure with this stoichiometry: 0 meV/atom
* symmetry: Fddd (70)

---

Entry 8:
This record from the Open Quantum Materials Database describes a geometry-optimized Gd3Mg3HgIr2 structure. The functional is PBE-GGA.

Structure (POSCAR):
```
Gd3Mg3HgIr2
1.0
7.4620 0.0000 0.0000
-3.7310 6.4623 0.0000
0.0000 0.0000 4.1252
Gd Mg Hg Ir
3 3 1 2
Cartesian
-1.5774 2.7321 0.0000
3.1548 0.0000 0.0000
2.1536 3.7302 0.0000
-2.7720 4.8012 2.0626
0.9590 1.6611 2.0626
5.5440 0.0000 2.0626
0.0000 0.0000 0.0000
0.0000 4.3082 2.0626
3.7310 2.1541 2.0626
```

Results
* E: -4.62 eV/atom
* symmetry: P-62m (189)

---

Entry 9:
This record from the Open Quantum Materials Database describes a geometry-optimized ErTmTlB structure. The functional is PBE-GGA.

Structure (POSCAR):
```
ErTmTlB
1.0
3.5997 0.0000 0.0000
-1.7998 3.1174 0.0000
0.0000 0.0000 16.7025
Er Tm Tl B
2 2 2 2
Cartesian
0.0000 2.0783 1.5311
1.7998 1.0391 15.1714
0.0000 2.0783 6.8424
1.7998 1.0391 9.8600
0.0000 2.0783 12.5118
1.7998 1.0391 4.1907
0.0000 0.0000 0.0000
0.0000 0.0000 8.3512
```

Results
* E: -4.64 eV/atom
* symmetry: P-3m1 (164)

---

Entry 10:
This record from the Open Quantum Materials Database describes a geometry-optimized GdSbN2O structure. The functional is PBE-GGA.

Structure (POSCAR):
```
GdSbN2O
1.0
5.7080 0.0000 0.0000
0.0000 8.1035 0.0000
0.0000 0.0000 5.5286
Gd Sb N O
4 4 8 4
Cartesian
0.3396 2.0259 0.1301
2.5144 6.0776 2.8944
3.1936 2.0259 2.6342
5.3684 6.0776 5.3985
0.0000 0.0000 2.7643
0.0000 4.0518 2.7643
2.8540 0.0000 0.0000
2.8540 4.0518 0.0000
1.1483 4.5294 4.4290
1.1483 7.6259 4.4290
1.7057 0.4776 1.6647
1.7057 3.5741 1.6647
4.0023 4.5294 3.8639
4.0023 7.6259 3.8639
4.5597 0.4776 1.0996
4.5597 3.5741 1.0996
0.2058 6.0776 2.1321
2.6482 2.0259 4.8964
3.0598 6.0776 0.6322
5.5021 2.0259 3.3965
```

Results
* E: -7.05 eV/atom
* symmetry: Pnma (62)

---

Entry 11:
This record from the Open Quantum Materials Database describes a geometry-optimized SrTcB2 structure. The functional is PBE-GGA.

Structure (POSCAR):
```
SrTcB2
1.0
0.0000 3.0529 3.0529
3.0529 0.0000 3.0529
3.0529 3.0529 0.0000
Sr Tc B
1 1 2
Cartesian
0.0000 0.0000 0.0000
1.5265 1.5265 1.5265
3.0529 3.0529 3.0529
4.5794 4.5794 4.5794
```

Results
* E: -4.49 eV/atom
* symmetry: F-43m (216)

---

Entry 12:
This record from the Open Quantum Materials Database describes a geometry-optimized Li2PdAu structure. The functional is PBE-GGA.

Structure (POSCAR):
```
Li2PdAu
1.0
-2.1370 2.1370 3.0338
2.1370 -2.1370 3.0338
2.1370 2.1370 -3.0338
Li Pd Au
2 1 1
Cartesian
2.1370 0.0000 1.5169
0.0000 2.1370 1.5169
0.0000 0.0000 0.0000
0.0000 0.0000 3.0338
```

Results
* energy above the lowest structure with this stoichiometry: 11 meV/atom
* symmetry: I4/mmm (139)

---

Entry 13:
This record from the Open Quantum Materials Database describes a geometry-optimized Re2Se3S structure. The functional is PBE-GGA.

Structure (POSCAR):
```
Re2Se3S
1.0
6.6043 0.0000 0.0000
-3.2445 5.9151 0.0000
-1.7074 -1.2013 6.7568
Re Se S
4 6 2
Cartesian
-0.5939 1.2238 0.0247
2.2562 1.0720 0.0579
-0.6038 3.6417 6.6989
2.2463 3.4900 6.7321
-2.5194 4.0863 5.0601
-0.7189 3.5284 1.2626
-0.7757 1.3816 5.3116
2.4281 3.3322 1.4452
2.3713 1.1854 5.4942
4.1718 0.6274 1.6967
0.7678 0.3307 1.7356
0.8846 4.3831 5.0212
```

Results
* energy above the lowest structure with this stoichiometry: 0 meV/atom
* symmetry: P-1 (2)

---

Entry 14:
This record from the Open Quantum Materials Database describes a geometry-optimized HoTlTe3Pt structure. The functional is PBE-GGA.

Structure (POSCAR):
```
HoTlTe3Pt
1.0
2.0644 -8.3393 0.0000
2.0644 8.3393 0.0000
0.0000 0.0000 10.5596
Ho Tl Te Pt
2 2 6 2
Cartesian
0.0000 0.0000 0.0000
0.0000 0.0000 5.2798
2.0644 4.2997 7.9197
2.0644 -4.2997 2.6399
2.0644 6.8588 2.6399
2.0644 2.1580 0.7582
2.0644 2.1580 4.5216
2.0644 -2.1580 6.0380
2.0644 -2.1580 9.8014
2.0644 -6.8588 7.9197
2.0644 0.2531 2.6399
2.0644 -0.2531 7.9197
```

Results
* energy above the lowest structure with this stoichiometry: 0 meV/atom
* symmetry: Cmcm (63)

---

Entry 15:
This record from the Open Quantum Materials Database describes a geometry-optimized PrHg2Au2 structure. The functional is PBE-GGA.

Structure (POSCAR):
```
PrHg2Au2
1.0
-2.1301 2.1301 6.5755
2.1301 -2.1301 6.5755
2.1301 2.1301 -6.5755
Pr Hg Au
1 2 2
Cartesian
0.0000 0.0000 0.0000
2.1301 0.0000 3.2878
0.0000 2.1301 3.2878
0.0000 0.0000 5.2461
0.0000 0.0000 7.9049
```

Results
* energy above the lowest structure with this stoichiometry: 0 meV/atom
* symmetry: I4/mmm (139)

---

Entry 16:
This record from the Open Quantum Materials Database describes a geometry-optimized PaPtAu structure. The functional is PBE-GGA.

Structure (POSCAR):
```
PaPtAu
1.0
0.0000 3.3467 3.3467
3.3467 0.0000 3.3467
3.3467 3.3467 0.0000
Pa Pt Au
1 1 1
Cartesian
0.0000 0.0000 0.0000
1.6734 1.6734 1.6734
5.0201 5.0201 5.0201
```

Results
* energy above the lowest structure with this stoichiometry: 203 meV/atom
* symmetry: F-43m (216)

---

Entry 17:
This record from the Open Quantum Materials Database describes a geometry-optimized Zr5Re structure. The functional is PBE-GGA.

Structure (POSCAR):
```
Zr5Re
1.0
5.3503 0.0000 0.0000
-2.6752 4.6335 0.0000
0.0000 0.0000 5.1399
Zr Re
5 1
Cartesian
-0.8433 1.4607 0.0000
1.6866 0.0000 0.0000
0.0000 3.0890 2.5700
2.6752 1.5445 2.5700
1.8318 3.1728 0.0000
0.0000 0.0000 2.5700
```

Results
* E: -9.04 eV/atom
* symmetry: P-62m (189)

---

Entry 18:
This record from the Open Quantum Materials Database describes a geometry-optimized Y4Ta2Ni3N3 structure. The functional is PBE-GGA.

Structure (POSCAR):
```
Y4Ta2Ni3N3
1.0
5.0402 -2.9253 0.0000
5.0402 2.9253 0.0000
-3.4308 0.0000 13.0517
Y Ta Ni N
8 4 6 6
Cartesian
0.8263 0.4451 1.4906
0.7729 0.5256 5.0334
-0.8891 -0.4451 8.0164
-0.9425 -0.5256 11.5592
7.5920 0.5256 1.4924
7.5386 0.4451 5.0352
5.8766 -0.5256 8.0183
5.8232 -0.4451 11.5610
4.1457 0.5224 1.0434
4.2192 0.5224 5.4824
2.4303 -0.5224 7.5692
2.5038 -0.5224 12.0083
4.1825 1.8854 3.2629
1.2574 0.2020 9.7981
2.9728 -0.2020 3.2722
3.6767 0.2020 9.7794
5.3921 -0.2020 3.2536
2.4670 -1.8854 9.7887
2.5201 1.4626 0.0000
2.5512 1.3448 6.5284
2.3829 1.3448 13.0491
0.8047 -1.4626 6.5258
4.2666 -1.3448 0.0026
4.0983 -1.3448 6.5233
```

Results
* E: -8.39 eV/atom
* symmetry: C2/c (15)

---

Entry 19:
This record from the Open Quantum Materials Database describes a geometry-optimized In4Cu structure. The functional is PBE-GGA.

Structure (POSCAR):
```
In4Cu
1.0
6.3678 0.0000 0.0000
0.0000 6.3678 0.0000
0.0000 0.0000 5.9210
In Cu
8 2
Cartesian
0.4333 3.6172 1.4269
0.4333 5.9345 4.4941
2.7506 3.6172 4.4941
2.7506 5.9345 1.4269
3.6172 0.4333 4.4941
3.6172 2.7506 1.4269
5.9345 0.4333 1.4269
5.9345 2.7506 4.4941
1.5919 1.5919 2.9605
4.7758 4.7758 2.9605
```

Results
* energy above the lowest structure with this stoichiometry: 0 meV/atom
* symmetry: P4/nbm (125)

---

Entry 20:
This record from the Open Quantum Materials Database describes a geometry-optimized PaAgO3 structure. The functional is PBE-GGA.

Structure (POSCAR):
```
PaAgO3
1.0
6.2351 0.0000 0.0000
0.0000 7.5159 0.0000
0.0000 0.0000 5.8349
Pa Ag O
4 4 12
Cartesian
0.5001 1.8790 0.0411
2.6174 5.6369 2.9585
3.6177 1.8790 2.8764
5.7350 5.6369 5.7938
0.0000 0.0000 2.9175
0.0000 3.7579 2.9175
3.1176 0.0000 0.0000
3.1176 3.7579 0.0000
0.8765 4.2393 4.9104
0.8777 5.6369 1.6094
0.8765 7.0346 4.9104
2.2410 0.4813 1.9930
2.2399 1.8790 4.5269
2.2410 3.2766 1.9930
3.9941 4.2393 3.8420
3.9952 5.6369 1.3081
3.9941 7.0346 3.8420
5.3586 0.4813 0.9245
5.3574 1.8790 4.2255
5.3586 3.2766 0.9245
```

Results
* E: -7.24 eV/atom
* symmetry: Pnma (62)